(1)
Entry from Alexandria: crystalline LiIn2Se at its relaxed geometry (GGA-PBE).

It has space group R-3m (No. 166, hexagonal axes), with a = 3.7821 Å, b = 3.7821 Å, c = 24.0423 Å, α = 90.00°, β = 90.00° and γ = 120.00°. Symmetry generates all atoms from Li at (0.0000, 0.0000, 0.0000), In at (0.0000, 0.0000, 0.2459) and Se at (0.0000, 0.0000, 0.5000).

For the size of the total moment, the calculation gives 0.00 μB per formula unit. As for the uncorrected formation energy: -6.8 kcal/mol of atoms. As for the relative energy among the computed polymorphs: 130 meV/atom. The calculation puts the density of states at the Fermi level at 5.202 states/eV per cell.

***

(2)
Entry from Alexandria: crystalline LiIn2Se at its relaxed geometry (GGA-PBE).

It has space group P4/mmm (No. 123), with a = 3.824 Å, b = 3.824 Å, c = 6.485 Å, α = 90.00°, β = 90.00° and γ = 90.00°. Symmetry generates all atoms from Li at (0.000, 0.000, 0.000), In at (0.500, 0.500, 0.255) and Se at (0.000, 0.000, 0.500).

For the size of the total moment, the calculation gives 0.00 μB per formula unit. As for the uncorrected formation energy: -5.4 kcal/mol of atoms. As for the relative energy among the computed polymorphs: 192 meV/atom. The calculation puts the density of states at the Fermi level at 1.245 states/eV per cell.

***

(3)
Entry from Alexandria: crystalline LiIn2Se at its relaxed geometry (GGA-PBE).

It has space group Fm-3m (No. 225), with a = 7.461 Å, b = 7.461 Å, c = 7.461 Å, α = 90.00°, β = 90.00° and γ = 90.00°. Symmetry generates all atoms from Li at (0.000, 0.000, 0.000), In at (0.250, 0.250, 0.250) and Se at (0.000, 0.000, 0.500).

For the size of the total moment, the calculation gives 0.00 μB per formula unit. As for the uncorrected formation energy: -1.7 kcal/mol of atoms. As for the relative energy among the computed polymorphs: 351 meV/atom. The calculation puts the density of states at the Fermi level at 9.261 states/eV per cell.

***

(4)
Entry from Alexandria: crystalline LiIn2Se at its relaxed geometry (GGA-PBE).

It has space group P4mm (No. 99), with a = 3.720 Å, b = 3.720 Å, c = 6.931 Å, α = 90.00°, β = 90.00° and γ = 90.00°. Symmetry generates all atoms from Li at (0.000, 0.000, 0.000), In at (0.000, 0.000, 0.408), In at (0.500, 0.500, 0.690) and Se at (0.500, 0.500, 0.084).

For the size of the total moment, the calculation gives 0.00 μB per formula unit. As for the uncorrected formation energy: -8.6 kcal/mol of atoms. As for the relative energy among the computed polymorphs: 52 meV/atom. The calculation puts the density of states at the Fermi level at 1.396 states/eV per cell.

***

(5)
Entry from Alexandria: crystalline LiIn2Se at its relaxed geometry (GGA-PBE).

It has space group Cm (No. 8), with a = 9.376 Å, b = 3.783 Å, c = 6.086 Å, α = 90.00°, β = 113.25° and γ = 90.00°. Symmetry generates all atoms from Li at (0.000, 0.000, 0.000), In at (0.160, 0.000, 0.620), In at (0.390, 0.000, 0.421) and Se at (0.216, 0.500, 0.017).

For the size of the total moment, the calculation gives 0.00 μB per formula unit. As for the uncorrected formation energy: -9.6 kcal/mol of atoms. As for the relative energy among the computed polymorphs: 10 meV/atom. The calculation puts the density of states at the Fermi level at 1.870 states/eV per cell.

***

(6)
Entry from Alexandria: crystalline Li3InSe at its relaxed geometry (GGA-PBE).

It has space group Pm-3m (No. 221), with a = 5.049 Å, b = 5.049 Å, c = 5.049 Å, α = 90.00°, β = 90.00° and γ = 90.00°. Symmetry generates all atoms from Li at (0.000, 0.000, 0.500), In at (0.000, 0.000, 0.000) and Se at (0.500, 0.500, 0.500).

For the size of the total moment, the calculation gives 1.31 μB per formula unit. As for the uncorrected formation energy: 3.8 kcal/mol of atoms. As for the relative energy among the computed polymorphs: 704 meV/atom. The calculation puts the density of states at the Fermi level at 3.510 states/eV per cell.

***

(7)
Entry from Alexandria: crystalline LiInSe2 at its relaxed geometry (GGA-PBE).

It has space group R3m (No. 160, hexagonal axes), with a = 3.9285 Å, b = 3.9285 Å, c = 20.5723 Å, α = 90.00°, β = 90.00° and γ = 120.00°. Symmetry generates all atoms from Li at (0.0000, 0.0000, 0.0000), In at (0.0000, 0.0000, 0.8328), Se at (0.0000, 0.0000, 0.2451) and Se at (0.0000, 0.0000, 0.4208).

For the size of the total moment, the calculation gives 0.00 μB per formula unit. As for the uncorrected formation energy: -17.4 kcal/mol of atoms.

***

(8)
Entry from Alexandria: crystalline Li3InSe at its relaxed geometry (GGA-PBE).

It has space group Pm-3m (No. 221), with a = 4.851 Å, b = 4.851 Å, c = 4.851 Å, α = 90.00°, β = 90.00° and γ = 90.00°. Symmetry generates all atoms from Li at (0.000, 0.000, 0.500), In at (0.500, 0.500, 0.500) and Se at (0.000, 0.000, 0.000).

For the size of the total moment, the calculation gives 0.00 μB per formula unit. As for the uncorrected formation energy: -12.4 kcal/mol of atoms. As for the relative energy among the computed polymorphs: 0 meV/atom. The calculation puts the density of states at the Fermi level at 2.809 states/eV per cell.

***

(9)
Entry from Alexandria: crystalline LiIn2Se at its relaxed geometry (GGA-PBE).

It has space group C2/m (No. 12), with a = 5.795 Å, b = 11.197 Å, c = 4.030 Å, α = 90.00°, β = 132.44° and γ = 90.00°. Symmetry generates all atoms from Li at (0.000, 0.000, 0.000), In at (0.250, 0.250, 0.000) and Se at (0.000, 0.500, 0.000).

For the size of the total moment, the calculation gives 0.00 μB per formula unit. As for the uncorrected formation energy: -8.2 kcal/mol of atoms. As for the relative energy among the computed polymorphs: 70 meV/atom. The calculation puts the density of states at the Fermi level at 2.046 states/eV per cell.

***

(10)
Entry from Alexandria: crystalline LiIn2Se at its relaxed geometry (GGA-PBE).

It has space group Immm (No. 71), with a = 3.767 Å, b = 4.266 Å, c = 11.946 Å, α = 90.00°, β = 90.00° and γ = 90.00°. Symmetry generates all atoms from Li at (0.000, 0.000, 0.000), In at (0.000, 0.500, 0.200) and Se at (0.000, 0.000, 0.500).

For the size of the total moment, the calculation gives 0.00 μB per formula unit. As for the uncorrected formation energy: -9.8 kcal/mol of atoms. As for the relative energy among the computed polymorphs: 1 meV/atom. The calculation puts the density of states at the Fermi level at 1.953 states/eV per cell.

***

(11)
Entry from Alexandria: crystalline LiInSe2 at its relaxed geometry (GGA-PBE).

It has space group Pmn2_1 (No. 31), with a = 4.278 Å, b = 8.575 Å, c = 5.940 Å, α = 90.00°, β = 90.00° and γ = 90.00°. Symmetry generates all atoms from Li at (0.000, 0.110, 0.000), In at (0.000, 0.642, 0.045), Se at (0.000, 0.369, 0.265) and Se at (0.000, 0.885, 0.280).

For the size of the total moment, the calculation gives 0.00 μB per formula unit. As for the uncorrected formation energy: -18.7 kcal/mol of atoms.

***

(12)
Entry from Alexandria: crystalline LiInSe2 at its relaxed geometry (GGA-PBE).

It has space group Pna2_1 (No. 33), with a = 7.338 Å, b = 8.575 Å, c = 6.942 Å, α = 90.00°, β = 90.00° and γ = 90.00°. Symmetry generates all atoms from Li at (0.088, 0.124, 0.000), In at (0.080, 0.626, 0.001), Se at (0.080, 0.629, 0.621) and Se at (0.082, 0.120, 0.628).

For the size of the total moment, the calculation gives 0.00 μB per formula unit. As for the uncorrected formation energy: -20.3 kcal/mol of atoms. The calculation puts the density of states at the Fermi level at 0.000 states/eV per cell.

***

no.,uncorrected energy (eV per formula unit)
1,-12.05
2,-11.81
3,-11.17
4,-12.37
5,-12.53
6,-11.14
7,-14.63
8,-14.66
9,-12.30
10,-12.57
11,-14.86
12,-15.14